# HoTm2Hf | Alexandria via LeMat-Bulk | GGA-PBE | relaxed
# DOS(E_F): 6.1 states/eV per cell
# E: -5.80 eV per atom
# E_form: 65 meV/atom
data_HoTm2Hf
_space_group_name_H-M_alt 'P -6 m 2'
_space_group_IT_number 187
_space_group_name_Hall 'P -6 2'
_cell_length_a 3.4545
_cell_length_b 3.4545
_cell_length_c 10.8705
_cell_angle_alpha 90.00
_cell_angle_beta 90.00
_cell_angle_gamma 120.00
loop_
_atom_site_label
_atom_site_fract_x
_atom_site_fract_y
_atom_site_fract_z
Ho1 0.0000 0.0000 0.0000
Tm1 0.3333 0.6667 0.2655
Hf1 0.0000 0.0000 0.5000